The following is a PBE-GGA calculation of an optimized crystal structure of LiPr2InTe5, from Alexandria.

```
LiPr2InTe5
1.0
2.1994 -9.7297 0.0000
2.1994 9.7297 0.0000
0.0000 0.0000 13.0361
Li Pr In Te
2 4 2 10
Cartesian
2.1994 5.4883 6.5181 Li
2.1994 -5.4883 0.0000 Li
2.1994 7.3453 2.1020 Pr
2.1994 7.2795 10.2503 Pr
2.1994 -7.2795 3.7322 Pr
2.1994 -7.3453 8.6200 Pr
2.1994 1.6654 12.4110 In
2.1994 -1.6654 5.8929 In
2.1994 8.9824 7.3786 Te
2.1994 3.9804 1.8572 Te
2.1994 3.8546 10.6222 Te
2.1994 2.7460 6.2096 Te
2.1994 0.1234 9.9714 Te
2.1994 -0.1234 3.4533 Te
2.1994 -2.7460 12.7277 Te
2.1994 -3.8546 4.1042 Te
2.1994 -3.9804 8.3753 Te
2.1994 -8.9824 0.8605 Te
```

Calculated values
final energy	-4.373	eV per atom
symmetry	Cmc2_1 (36)

The following is a PBE-GGA calculation of an optimized crystal structure of BaOsPt, from Alexandria.

```
BaOsPt
1.0
6.3369 -2.1029 0.0000
6.3369 2.1029 0.0000
-2.3345 0.0000 5.8280
Ba Os Pt
2 2 2
Cartesian
0.6860 0.0000 1.7161 Ba
9.6533 0.0000 4.1119 Ba
0.7384 0.0000 5.2299 Os
9.6009 0.0000 0.5981 Os
4.4878 0.0000 1.7347 Pt
5.8516 0.0000 4.0933 Pt
```

Calculated values
final energy	-6.430	eV per atom
symmetry	C2/m (12)
excess energy over the best structure of this formula in the dataset	26	meV/atom
formation energy	-0.0324	eV/atom

The following is a PBE-GGA calculation of an optimized crystal structure of MnIn2W, from Alexandria.

```
MnIn2W
1.0
4.1506 0.0000 0.0000
0.0000 4.1506 0.0000
0.0000 0.0000 4.2029
Mn In W
1 2 1
Cartesian
0.0000 0.0000 0.0000 Mn
0.0000 2.0753 2.1014 In
2.0753 0.0000 2.1014 In
2.0753 2.0753 0.0000 W
```

Calculated values
final energy	-6.382	eV per atom
symmetry	P4/mmm (123)
excess energy over the best structure of this formula in the dataset	195	meV/atom
formation energy	0.5176	eV/atom